[1]
# U3SbH3

An optimized crystal structure of U3SbH3 (PBE, the Alexandria database).

Cell and atoms, written as extended XYZ:
```
14
Lattice="-0.001 3.077 -5.280 -0.781 -5.237 -3.052 -6.061 0.675 0.394" Properties=species:S:1:pos:R:3 pbc="T T T"
Sb -3.422 -0.742 -3.969
Sb 0.000 0.000 0.000
U -3.226 -0.972 -0.566
U -3.617 -3.590 -2.092
U -4.546 2.045 -2.344
U -0.391 -0.310 -5.486
U -1.516 1.707 -2.541
U -0.391 -1.849 -2.846
H -3.031 1.107 -1.123
H -1.906 -2.450 -1.427
H -0.586 -2.389 -4.929
H -3.031 2.645 -3.763
H -4.936 -2.112 -1.230
H -0.196 0.229 -3.403
```

Output
The space-group type is No. 223. For the total DFT energy (no corrections), the calculation gives -6.966 eV/atom. The spin magnetization comes out at 9.3 μB per formula unit.

[2]
# U2SbH2

An optimized crystal structure of U2SbH2 (PBE, the Alexandria database).

Cell and atoms, written as extended XYZ:
```
5
Lattice="2.244 5.093 0.131 -2.244 5.093 0.131 0.000 1.869 4.081" Properties=species:S:1:pos:R:3 pbc="T T T"
U 0.000 8.106 1.218
U 0.000 3.948 3.125
Sb 0.000 5.093 0.131
H 0.000 9.659 2.975
H 0.000 2.395 1.368
```

Output
The space-group type is No. 139. For the total DFT energy (no corrections), the calculation gives -6.746 eV/atom. The spin magnetization comes out at 6.8 μB per formula unit.

[3]
# U4SbH4

An optimized crystal structure of U4SbH4 (PBE, the Alexandria database).

Cell and atoms, written as extended XYZ:
```
18
Lattice="7.508 0.000 0.000 0.000 7.508 0.000 0.000 0.000 4.549" Properties=species:S:1:pos:R:3 pbc="T T T"
U 2.188 6.459 2.531
U 5.320 1.049 2.531
U 4.803 5.942 0.257
U 5.942 2.705 4.292
U 1.566 4.803 4.292
U 1.049 2.188 2.018
U 6.459 5.320 2.018
U 2.705 1.566 0.257
Sb 0.000 0.000 0.000
Sb 3.754 3.754 2.275
H 6.477 2.958 2.044
H 6.712 4.785 4.318
H 1.031 4.550 2.044
H 4.785 0.796 0.231
H 4.550 6.477 2.505
H 2.723 6.712 0.231
H 0.796 2.723 4.318
H 2.958 1.031 2.505
```

Output
The space-group type is No. 86. For the total DFT energy (no corrections), the calculation gives -7.078 eV/atom. The spin magnetization comes out at 0.0 μB per formula unit.

[4]
# U3Sb2H

An optimized crystal structure of U3Sb2H (PBE, the Alexandria database).

Cell and atoms, written as extended XYZ:
```
6
Lattice="-1.724 1.716 -3.167 -2.691 -4.110 -3.280 -5.706 1.356 1.323" Properties=species:S:1:pos:R:3 pbc="T T T"
U -6.688 0.036 -3.892
U -3.118 0.445 -3.096
U -7.330 -1.349 -1.776
Sb -5.654 1.335 -1.234
Sb -4.740 -2.343 -3.724
H -2.832 -1.240 -1.648
```

Output
The space-group type is No. 8. For the total DFT energy (no corrections), the calculation gives -7.791 eV/atom. The spin magnetization comes out at 5.5 μB per formula unit.

[5]
# USb2H

An optimized crystal structure of USb2H (PBE, the Alexandria database).

Cell and atoms, written as extended XYZ:
```
4
Lattice="-0.476 2.287 -3.795 -4.034 0.446 -1.842 -2.550 6.909 1.866" Properties=species:S:1:pos:R:3 pbc="T T T"
Sb -2.263 5.266 0.840
Sb -4.797 4.375 -4.611
U -3.530 4.821 -1.886
H 0.000 0.000 0.000
```

Output
The space-group type is No. 166. For the total DFT energy (no corrections), the calculation gives -5.374 eV/atom. The spin magnetization comes out at 1.1 μB per formula unit.

[6]
# V2SbH

An optimized crystal structure of V2SbH (PBE, the Alexandria database).

Cell and atoms, written as extended XYZ:
```
8
Lattice="4.769 0.000 0.000 0.000 4.769 0.000 2.384 2.384 4.963" Properties=species:S:1:pos:R:3 pbc="T T T"
Sb 0.000 0.000 0.000
Sb 4.769 2.384 2.481
V 2.384 1.192 1.241
V 2.384 3.577 1.241
V 3.577 4.769 3.722
V 5.961 4.769 3.722
H 2.384 2.384 0.000
H 2.384 4.769 2.481
```

Output
Its distance to the lowest polymorph of the same formula is 0.073 eV per atom. The space-group type is No. 141. The spin magnetization comes out at 0.0 μB per formula unit.

[7]
# VSb2H2

An optimized crystal structure of VSb2H2 (PBE, the Alexandria database).

Cell and atoms, written as extended XYZ:
```
10
Lattice="6.395 0.000 0.000 0.000 6.395 0.000 0.000 0.000 3.432" Properties=species:S:1:pos:R:3 pbc="T T T"
Sb 1.029 4.226 1.716
Sb 4.226 5.366 1.716
Sb 5.366 2.169 1.716
Sb 2.169 1.029 1.716
V 0.000 0.000 0.000
V 3.197 3.197 0.000
H 2.029 5.227 0.000
H 5.227 4.366 0.000
H 4.366 1.168 0.000
H 1.168 2.029 0.000
```

Output
Its distance to the lowest polymorph of the same formula is 0.298 eV per atom. The space-group type is No. 127. The spin magnetization comes out at 1.4 μB per formula unit.

[8]
# V3SbH

An optimized crystal structure of V3SbH (PBE, the Alexandria database).

Cell and atoms, written as extended XYZ:
```
5
Lattice="3.961 0.000 0.000 0.000 3.961 0.000 0.000 0.000 3.961" Properties=species:S:1:pos:R:3 pbc="T T T"
Sb 1.980 1.980 1.980
H 0.000 0.000 0.000
V 0.000 1.980 0.000
V 0.000 0.000 1.980
V 1.980 0.000 0.000
```

Output
Its distance to the lowest polymorph of the same formula is 0.000 eV per atom. The space-group type is No. 221. The spin magnetization comes out at 0.0 μB per formula unit.

[9]
# VSbH3

An optimized crystal structure of VSbH3 (PBE, the Alexandria database).

Cell and atoms, written as extended XYZ:
```
5
Lattice="-2.905 -1.960 1.975 -1.771 -0.900 -3.498 2.146 -3.396 -0.213" Properties=species:S:1:pos:R:3 pbc="T T T"
Sb 0.000 0.000 0.000
V -1.265 -3.128 -0.868
H -0.885 -0.450 -1.749
H 1.073 -1.698 -0.106
H -1.453 -0.980 0.988
```

Output
Its distance to the lowest polymorph of the same formula is 0.712 eV per atom. The space-group type is No. 221. The spin magnetization comes out at 3.9 μB per formula unit.

[10]
# V3SbH

An optimized crystal structure of V3SbH (PBE, the Alexandria database).

Cell and atoms, written as extended XYZ:
```
5
Lattice="-5.136 -0.792 0.394 0.069 -2.672 -4.474 0.882 -4.403 2.644" Properties=species:S:1:pos:R:3 pbc="T T T"
Sb 0.000 0.000 0.000
V 0.035 -1.336 -2.237
V 0.441 -2.202 1.322
V -2.568 -0.396 0.197
H -2.092 -3.934 -0.718
```

Output
Its distance to the lowest polymorph of the same formula is 1.882 eV per atom. The space-group type is No. 221. The spin magnetization comes out at 11.0 μB per formula unit.

[11]
# V2SbH

An optimized crystal structure of V2SbH (PBE, the Alexandria database).

Cell and atoms, written as extended XYZ:
```
4
Lattice="3.128 0.000 0.000 1.564 2.709 0.000 1.564 0.903 6.226" Properties=species:S:1:pos:R:3 pbc="T T T"
Sb 3.128 1.806 3.113
H 0.000 0.000 0.000
V 1.564 0.903 0.869
V 4.693 2.709 5.358
```

Output
Its distance to the lowest polymorph of the same formula is 0.000 eV per atom. The space-group type is No. 166. The spin magnetization comes out at 0.0 μB per formula unit.

[12]
# V3SbH

An optimized crystal structure of V3SbH (PBE, the Alexandria database).

Cell and atoms, written as extended XYZ:
```
10
Lattice="-3.549 -2.321 2.800 -1.813 -3.254 -4.001 4.354 -1.555 2.464" Properties=species:S:1:pos:R:3 pbc="T T T"
V -2.467 -3.329 2.921
V -1.242 -2.993 0.659
V -0.646 -5.373 1.292
V -1.944 -4.616 -1.517
V 0.009 -3.799 3.403
V 0.550 -5.100 -0.953
Sb -3.354 -4.895 0.848
Sb 1.444 -3.491 1.111
H -1.922 -1.694 1.840
H 2.201 -4.740 -1.638
```

Output
Its distance to the lowest polymorph of the same formula is 0.050 eV per atom. The space-group type is No. 1. The spin magnetization comes out at 0.0 μB per formula unit.

[13]
# V2SbH

An optimized crystal structure of V2SbH (PBE, the Alexandria database).

Cell and atoms, written as extended XYZ:
```
4
Lattice="-3.885 -1.902 -0.572 -3.661 2.307 0.555 -2.458 1.054 -3.447" Properties=species:S:1:pos:R:3 pbc="T T T"
Sb -5.002 0.730 -1.732
V -2.501 0.365 -0.866
V -7.503 1.095 -2.598
H 0.000 0.000 0.000
```

Output
Its distance to the lowest polymorph of the same formula is 0.572 eV per atom. The space-group type is No. 225. The spin magnetization comes out at 2.3 μB per formula unit.

[14]
# VSbH3

An optimized crystal structure of VSbH3 (PBE, the Alexandria database).

Cell and atoms, written as extended XYZ:
```
5
Lattice="-2.477 2.260 -1.391 0.162 -1.770 -3.165 -2.649 -2.222 1.107" Properties=species:S:1:pos:R:3 pbc="T T T"
Sb -2.482 -0.866 -1.724
V 0.000 0.000 0.000
H 0.081 -0.885 -1.582
H -1.324 -1.111 0.554
H -1.238 1.130 -0.696
```

Output
Its distance to the lowest polymorph of the same formula is 0.000 eV per atom. The space-group type is No. 221. The spin magnetization comes out at 1.1 μB per formula unit.

[15]
# VSb2H

An optimized crystal structure of VSb2H (PBE, the Alexandria database).

Cell and atoms, written as extended XYZ:
```
8
Lattice="6.423 0.000 0.000 0.000 6.423 0.000 3.211 3.211 3.407" Properties=species:S:1:pos:R:3 pbc="T T T"
Sb 4.346 1.606 0.852
Sb 2.077 4.817 0.852
Sb 4.817 5.288 2.555
Sb 8.029 7.557 2.555
V 0.000 0.000 0.000
V 6.423 3.211 1.703
H 3.211 3.211 0.000
H 3.211 6.423 1.703
```

Output
Its distance to the lowest polymorph of the same formula is 0.000 eV per atom. The space-group type is No. 122. The spin magnetization comes out at 1.9 μB per formula unit.

[16]
# VSb2H

An optimized crystal structure of VSb2H (PBE, the Alexandria database).

Cell and atoms, written as extended XYZ:
```
4
Lattice="0.000 3.315 3.315 3.315 0.000 3.315 3.315 3.315 0.000" Properties=species:S:1:pos:R:3 pbc="T T T"
Sb 1.657 1.657 1.657
Sb 4.972 4.972 4.972
V 3.315 3.315 3.315
H 0.000 0.000 0.000
```

Output
Its distance to the lowest polymorph of the same formula is 0.117 eV per atom. The space-group type is No. 225. The spin magnetization comes out at 3.2 μB per formula unit.

[17]
# VSb2H2

An optimized crystal structure of VSb2H2 (PBE, the Alexandria database).

Cell and atoms, written as extended XYZ:
```
5
Lattice="-3.242 3.282 1.426 -3.458 -2.379 -2.388 -3.982 -1.350 2.229" Properties=species:S:1:pos:R:3 pbc="T T T"
Sb -5.287 1.192 1.587
Sb -5.395 -1.638 -0.320
V 0.000 0.000 0.000
H -3.423 0.243 -0.167
H -7.259 -0.689 1.434
```

Output
Its distance to the lowest polymorph of the same formula is 0.000 eV per atom. The space-group type is No. 139. The spin magnetization comes out at 2.9 μB per formula unit.

[18]
# VZn2SbH

An optimized crystal structure of VZn2SbH (PBE, the Alexandria database).

Cell and atoms, written as extended XYZ:
```
5
Lattice="3.924 0.000 0.000 0.000 4.784 0.000 0.000 0.000 3.924" Properties=species:S:1:pos:R:3 pbc="T T T"
Sb 0.000 2.392 0.000
Zn 0.000 0.000 1.962
Zn 1.962 0.000 0.000
H 0.000 0.000 0.000
V 1.962 2.392 1.962
```

Output
The space-group type is No. 123. For the total DFT energy (no corrections), the calculation gives -3.470 eV/atom. The spin magnetization comes out at 2.3 μB per formula unit.

[19]
# Zr2VSbH

An optimized crystal structure of Zr2VSbH (PBE, the Alexandria database).

Cell and atoms, written as extended XYZ:
```
5
Lattice="-1.252 -1.447 4.095 4.331 -0.102 1.288 -0.280 3.746 1.238" Properties=species:S:1:pos:R:3 pbc="T T T"
Sb 1.399 1.099 3.311
H 0.000 0.000 0.000
Zr 2.166 -0.051 0.644
Zr -0.626 -0.724 2.047
V -0.140 1.873 0.619
```

Output
The space-group type is No. 123. For the total DFT energy (no corrections), the calculation gives -7.083 eV/atom. The spin magnetization comes out at 0.0 μB per formula unit.

[20]
# ZrV2SbH

An optimized crystal structure of ZrV2SbH (PBE, the Alexandria database).

Cell and atoms, written as extended XYZ:
```
5
Lattice="4.108 0.000 0.000 0.000 4.108 0.000 0.000 0.000 4.243" Properties=species:S:1:pos:R:3 pbc="T T T"
Sb 2.054 2.054 2.121
H 0.000 0.000 0.000
Zr 0.000 0.000 2.121
V 0.000 2.054 0.000
V 2.054 0.000 0.000
```

Output
The space-group type is No. 123. For the total DFT energy (no corrections), the calculation gives -7.045 eV/atom. The spin magnetization comes out at 0.0 μB per formula unit.